Density functional theory data (GGA-PBE) for a geometry-optimized LiHo2Sn structure.

Cell: 3.4063 3.4063 11.6505 Å, 81.59 81.59 60.00°
Fractional positions:
Ho: 0.0898 0.0898 0.7306
Li: 0.5000 0.5000 0.5000
Sn: 0.0000 0.0000 0.0000
Ho: 0.9102 0.9102 0.2694

Output
DOS(E_F) (states/eV/f.u.): 3.59
M_tot (μB/f.u.): 0.0
Energy above the lowest structure with this stoichiometry (eV per atom): 0.5661
Space-group type: R-3m


Density functional theory data (GGA-PBE) for a geometry-optimized CeGa2Co2C structure.

Cell: 4.0697 4.0697 6.5051 Å, 108.23 108.23 90.00°
Fractional positions:
Ga: 0.2500 0.7500 0.5000
C: 0.0000 0.0000 0.0000
Ce: 0.5000 0.5000 0.0000
Ga: 0.7500 0.2500 0.5000
Co: 0.8543 0.8543 0.7086
Co: 0.1457 0.1457 0.2914

Output
DOS(E_F) (states/eV/f.u.): 8.70
M_tot (μB/f.u.): 0.7
Final energy (Ry/atom): -0.452
Space-group type: I4/mmm


Density functional theory data (GGA-PBE) for a geometry-optimized ReTeOsS2 structure.

Cell: 4.4278 5.8205 4.4278 Å, 90.00 90.00 90.00°
Fractional positions:
Os: 0.5000 0.5000 0.5000
S: 0.0000 0.0000 0.5000
S: 0.5000 0.0000 0.0000
Te: 0.0000 0.5000 0.0000
Re: 0.0000 0.0000 0.0000

Output
DOS(E_F) (states/eV/f.u.): 10.09
M_tot (μB/f.u.): 2.8
Energy relative to the elements, uncorrected (meV/atom): 1214
Space-group type: P4/mmm


Density functional theory data (GGA-PBE) for a geometry-optimized TbYGaPd structure.

Cell: 5.0403 5.0403 5.0403 Å, 60.00 60.00 60.00°
Fractional positions:
Tb: 0.2500 0.2500 0.2500
Ga: 0.5000 0.5000 0.5000
Pd: 0.0000 0.0000 0.0000
Y: 0.7500 0.7500 0.7500

Output
DOS(E_F) (states/eV/f.u.): 3.18
M_tot (μB/f.u.): 0.0
Energy above the lowest structure with this stoichiometry (eV per atom): 0.0405
Space-group type: F-43m


Density functional theory data (GGA-PBE) for a geometry-optimized In3Ni structure.

Cell: 6.9460 6.9460 7.2885 Å, 90.00 90.00 90.00°
Fractional positions:
In: 0.8439 0.8439 0.7420
In: 0.3439 0.6561 0.2420
In: 0.6561 0.3439 0.2420
In: 0.5000 0.0000 0.5000
In: 0.8439 0.8439 0.2580
In: 0.0000 0.5000 0.5000
Ni: 0.3502 0.3502 0.0000
Ni: 0.1498 0.8502 0.5000
In: 0.1561 0.1561 0.2580
In: 0.5000 0.0000 0.0000
Ni: 0.6498 0.6498 0.0000
In: 0.6561 0.3439 0.7580
In: 0.1561 0.1561 0.7420
In: 0.3439 0.6561 0.7580
In: 0.0000 0.5000 0.0000
Ni: 0.8502 0.1498 0.5000

Output
DOS(E_F) (states/eV/f.u.): 2.24
M_tot (μB/f.u.): 0.0
Final energy (Ry/atom): -0.261
Space-group type: P4_2/mnm


Density functional theory data (GGA-PBE) for a geometry-optimized MnInFe2 structure.

Cell: 4.9376 4.9376 4.2623 Å, 64.39 64.39 37.30°
Fractional positions:
Mn: 0.2500 0.2500 0.2500
Fe: 0.5144 0.5144 0.4855
In: 0.7500 0.7500 0.7500
Fe: 0.9856 0.9856 0.0145

Output
DOS(E_F) (states/eV/f.u.): 3.24
M_tot (μB/f.u.): 7.0
Final energy (Ry/atom): -0.511
Space-group type: Immm


Density functional theory data (GGA-PBE) for a geometry-optimized Li2MgSi structure.

Cell: 6.3594 6.3594 6.3594 Å, 90.00 90.00 90.00°
Fractional positions:
Si: 0.2534 0.2534 0.2534
Li: 0.2720 0.2720 0.7280
Mg: 0.0000 0.0000 0.5000
Si: 0.2534 0.7466 0.7466
Li: 0.2720 0.7280 0.2720
Li: 0.7280 0.2720 0.2720
Mg: 0.0000 0.5000 0.0000
Li: 0.5000 0.5000 0.5000
Si: 0.7466 0.2534 0.7466
Li: 0.7280 0.7280 0.7280
Li: 0.5000 0.5000 0.0000
Mg: 0.0000 0.0000 0.0000
Si: 0.7466 0.7466 0.2534
Mg: 0.5000 0.0000 0.0000
Li: 0.5000 0.0000 0.5000
Li: 0.0000 0.5000 0.5000

Output
DOS(E_F) (states/eV/f.u.): 0.39
M_tot (μB/f.u.): 0.0
Energy relative to the elements, uncorrected (meV/atom): -245
Space-group type: P-43m


Density functional theory data (GGA-PBE) for a geometry-optimized Ac4Pr3SmS8 structure.

Cell: 8.3832 8.3948 8.3829 Å, 119.96 120.00 90.00°
Fractional positions:
Pr: 0.5000 0.5000 0.0000
Ac: 0.5000 0.0000 0.0000
Pr: 0.0000 0.5000 0.5000
S: 0.7572 0.2649 0.0077
S: 0.2539 0.2618 0.5079
S: 0.7494 0.7351 0.9923
S: 0.7572 0.2649 0.5143
S: 0.2428 0.7351 0.9923
Sm: 0.0000 0.5000 0.0000
Ac: 0.5000 0.0000 0.5000
S: 0.7461 0.7382 0.4921
Pr: 0.5000 0.5000 0.5000
Ac: 0.0000 0.0000 0.5000
Ac: 0.0000 0.0000 0.0000
S: 0.2506 0.2649 0.0077
S: 0.2428 0.7351 0.4857

Output
DOS(E_F) (states/eV/f.u.): 7.38
M_tot (μB/f.u.): 0.0
Energy relative to the elements, uncorrected (meV/atom): -2007
Space-group type: R-3m